Entry 1:
Density functional theory data (SCAN) for a PBEsol-optimized structure of SrAg2Hg.

Properties
The energy comes out at -38.556 eV/atom.

a b c (Å): 4.7606 4.7606 15.0387
angles (deg): 90.00 90.00 120.00
Space group R-3m (No. 166, hexagonal axes)
Unique sites:
1 Sr 0.0000 0.0000 0.0000 (multiplicity 3)
2 Ag 0.0000 0.0000 0.2078 (multiplicity 6)
3 Hg 0.0000 0.0000 0.5000 (multiplicity 3)

=====

Entry 2:
Density functional theory data (SCAN) for a PBEsol-optimized structure of MgNi2Pb.

Properties
The energy comes out at -28.150 eV/atom.

a b c (Å): 3.1190 3.1190 6.7258
angles (deg): 90.00 90.00 90.00
Space group P4mm (No. 99)
Unique sites:
1 Mg 0.0000 0.0000 0.0000 (multiplicity 1)
2 Ni 0.0000 0.0000 0.3842 (multiplicity 1)
3 Ni 0.5000 0.5000 0.2160 (multiplicity 1)
4 Pb 0.5000 0.5000 0.6296 (multiplicity 1)